1.
Ce4Ga16Os3 after structural relaxation. Source: the Alexandria database, functional GGA-PBE.

Calculated values
Formation energy in eV/atom: -0.480
SG: P4/mmm, No. 123
Uncorrected energy in eV for the cell shown: -116.90
Theoretical density in g/cm3: 8.6

a = 6.2115 Å, b = 6.2115 Å, c = 11.2989 Å
α = 90.00°, β = 90.00°, γ = 90.00°
Positions (direct):
Ce 0.5000 0.0000 0.8047
Ce 0.0000 0.5000 0.1953
Ce 0.0000 0.5000 0.8047
Ce 0.5000 0.0000 0.1953
Ga 0.0000 0.0000 0.7765
Ga 0.2875 0.2875 0.0000
Ga 0.5000 0.5000 0.8021
Ga 0.7125 0.2875 0.0000
Ga 0.5000 0.5000 0.1979
Ga 0.7125 0.7125 0.0000
Ga 0.0000 0.0000 0.2235
Ga 0.7509 0.7509 0.6180
Ga 0.7509 0.2491 0.3820
Ga 0.2491 0.2491 0.6180
Ga 0.2491 0.7509 0.3820
Ga 0.2875 0.7125 0.0000
Ga 0.7509 0.7509 0.3820
Ga 0.7509 0.2491 0.6180
Ga 0.2491 0.2491 0.3820
Ga 0.2491 0.7509 0.6180
Os 0.0000 0.5000 0.5000
Os 0.0000 0.0000 0.0000
Os 0.5000 0.0000 0.5000

2.
Ce2Ga7Os after structural relaxation. Source: the Alexandria database, functional GGA-PBE.

Calculated values
Formation energy in eV/atom: -0.014
SG: Fm-3m, No. 225
Uncorrected energy in eV for the cell shown: -44.43
Theoretical density in g/cm3: 7.1

a = 6.8071 Å, b = 6.8071 Å, c = 6.8071 Å
α = 60.00°, β = 60.00°, γ = 60.00°
Positions (direct):
Ce 0.2500 0.2500 0.2500
Ce 0.7500 0.7500 0.7500
Ga 0.5000 0.5000 0.5000
Ga 0.2508 0.7492 0.7492
Ga 0.2508 0.7492 0.2508
Ga 0.7492 0.2508 0.7492
Ga 0.7492 0.7492 0.2508
Ga 0.2508 0.2508 0.7492
Ga 0.7492 0.2508 0.2508
Os 0.0000 0.0000 0.0000

3.
Ce7Ga2Os2 after structural relaxation. Source: the Alexandria database, functional GGA-PBE.

Calculated values
Formation energy in eV/atom: -0.190
SG: Cmmm, No. 65
Uncorrected energy in eV for the cell shown: -72.15
Theoretical density in g/cm3: 8.7

a = 6.7141 Å, b = 6.6384 Å, c = 6.7141 Å
α = 90.00°, β = 106.80°, γ = 90.00°
Positions (direct):
Ce 0.0000 0.2774 0.5000
Ce 0.5000 0.7226 0.0000
Ce 0.0000 0.7226 0.5000
Ce 0.5000 0.2774 0.0000
Ce 0.0000 0.0000 0.0000
Ce 0.5000 0.7133 0.5000
Ce 0.5000 0.2867 0.5000
Ga 0.8437 0.5000 0.8437
Ga 0.1563 0.5000 0.1563
Os 0.7090 0.0000 0.2910
Os 0.2910 0.0000 0.7090

4.
Ce2Ga5Os after structural relaxation. Source: the Alexandria database, functional GGA-PBE.

Calculated values
Formation energy in eV/atom: -0.336
SG: I4mm, No. 107
Uncorrected energy in eV for the cell shown: -40.92
Theoretical density in g/cm3: 8.1

a = 6.2117 Å, b = 6.2117 Å, c = 6.2117 Å
α = 89.06°, β = 120.55°, γ = 120.55°
Positions (direct):
Ce 0.5000 0.2478 0.7478
Ce 0.5000 0.7478 0.2478
Ga 0.4277 0.7058 0.7058
Ga 0.0000 0.7058 0.2781
Ga 0.0000 0.2781 0.7058
Ga 0.5723 0.2781 0.2781
Ga 0.0000 0.2678 0.2678
Os 0.0000 0.9910 0.9910